4
Lattice="2.7949 0.0000 0.0000 0.0000 3.5197 0.0000 0.0000 0.0000 7.6511" Properties=species:S:1:pos:R:3 comment="KCr2Fe (PBE, relaxed)" n_ef_per_ev_cell=3.9 e_form_ev_per_fu=3.47 total_magnetization_mub_per_atom=0.167 relative_energy_ev_per_fu=0.37 pbc="T T T"
K 0.0000 0.0000 0.0000
Cr 1.3975 1.7598 2.8393
Cr 1.3975 1.7598 4.8118
Fe 0.0000 0.0000 3.8256

4
Lattice="3.4452 0.0000 0.0000 0.0000 4.2507 0.0000 0.0000 0.0000 7.4864" Properties=species:S:1:pos:R:3 comment="In2HgSb (PBE, relaxed)" n_ef_per_ev_cell=1.7 total_magnetization_mub_per_atom=0.000 relative_energy_ev_per_fu=0.13 formation_energy_uncorrected_kj_per_mol_atoms=3.5 pbc="T T T"
In 0.0000 0.0000 1.8728
In 0.0000 0.0000 5.6136
Hg 1.7226 2.1253 0.0000
Sb 1.7226 2.1253 3.7432

5
Lattice="5.0821 0.0000 0.0000 0.0000 5.0821 0.0000 0.0000 0.0000 5.2241" Properties=species:S:1:pos:R:3 comment="ZrAsIrSe2 (PBE, relaxed)" n_ef_per_ev_cell=7.0 total_magnetization_mub_per_atom=0.453 relative_energy_ev_per_fu=2.53 formation_energy_uncorrected_kj_per_mol_atoms=79.0 pbc="T T T"
Zr 0.0000 0.0000 0.0000
As 0.0000 0.0000 2.6120
Ir 2.5410 2.5410 2.6120
Se 0.0000 2.5410 0.0000
Se 2.5410 0.0000 0.0000

12
Lattice="-2.6520 2.6520 5.7644 2.6520 -2.6520 5.7644 2.6520 2.6520 -5.7644" Properties=species:S:1:pos:R:3 comment="LaTbTc2O8 (PBE, relaxed)" n_ef_per_ev_cell=0.8 total_magnetization_mub_per_atom=0.337 formation_energy_uncorrected_kj_per_mol_atoms=-216.4 pbc="T T T"
La 0.0000 0.0000 0.0000
Tb 2.6520 0.0000 2.8822
Tc 0.0000 0.0000 5.7644
Tc 0.0000 2.6520 2.8822
O 1.3307 0.9011 -1.9310
O 1.3376 -0.8150 4.7538
O 1.8370 1.3144 1.0106
O 1.7509 -1.3213 7.6954
O 1.3144 3.4670 -1.0106
O 1.3213 1.7509 3.8334
O 0.8150 1.3376 6.7750
O 0.9011 3.9733 1.9310

4
Lattice="-1.8937 3.3370 6.4793 1.8937 -3.3370 6.4793 1.8937 3.3370 -6.4793" Properties=species:S:1:pos:R:3 comment="K2ScBr (PBE, relaxed)" n_ef_per_ev_cell=5.5 total_magnetization_mub_per_atom=0.412 relative_energy_ev_per_fu=1.17 formation_energy_uncorrected_kj_per_mol_atoms=-6.8 pbc="T T T"
K 0.0000 0.0000 2.5577
K 0.0000 0.0000 10.4009
Sc 0.0000 3.3370 0.0000
Br 1.8937 0.0000 0.0000

56
Lattice="11.4082 0.0000 0.0000 0.0000 10.4676 0.0000 0.0000 0.0000 15.2818" Properties=species:S:1:pos:R:3 comment="P4S3 (PBE, relaxed)" n_ef_per_ev_cell=0.0 total_magnetization_mub_per_atom=0.000 formation_energy_uncorrected_kj_per_mol_atoms=-14.1 pbc="T T T"
P 0.3004 2.6169 0.6030
P 0.3626 7.8507 7.4135
P 0.5828 6.7213 11.7013
P 0.5828 8.9801 11.7013
P 0.9430 7.8507 4.1635
P 2.2977 7.8507 12.6355
P 2.5763 6.7219 5.2365
P 2.5763 8.9795 5.2365
P 3.1278 1.4881 12.8774
P 3.1278 3.7457 12.8774
P 3.4064 2.6169 4.9945
P 4.7611 2.6169 11.8044
P 5.1213 1.4875 4.0604
P 5.1213 3.7463 4.0604
P 5.3415 2.6169 15.0544
P 5.4037 7.8507 8.2439
P 6.0045 2.6169 7.0379
P 6.0667 7.8507 0.2275
P 6.2869 6.7213 11.2215
P 6.2869 8.9801 11.2215
P 6.6472 7.8507 3.4774
P 8.0018 7.8507 10.2873
P 8.2804 6.7219 2.4044
P 8.2804 8.9795 2.4044
P 8.8319 1.4881 10.0453
P 8.8319 3.7457 10.0453
P 9.1105 2.6169 2.6464
P 10.4652 2.6169 11.1184
P 10.8254 1.4875 3.5805
P 10.8254 3.7463 3.5805
P 11.0456 2.6169 7.8684
P 11.1078 7.8507 14.6788
S 0.6343 1.0006 1.9405
S 0.6396 2.6169 9.7361
S 0.6343 4.2332 1.9405
S 1.7005 6.2360 7.0829
S 1.7005 9.4654 7.0829
S 1.8202 7.8507 14.6830
S 3.8839 2.6169 7.0421
S 4.0036 1.0022 14.7238
S 4.0036 4.2316 14.7238
S 5.0698 6.2344 9.5814
S 5.0645 7.8507 2.0952
S 5.0698 9.4670 9.5814
S 6.3384 1.0006 5.7004
S 6.3437 2.6169 13.1867
S 6.3384 4.2332 5.7004
S 7.4046 6.2360 0.5581
S 7.4046 9.4654 0.5581
S 7.5243 7.8507 8.2397
S 9.5880 2.6169 0.5988
S 9.7077 1.0022 8.1990
S 9.7077 4.2316 8.1990
S 10.7739 6.2344 13.3413
S 10.7686 7.8507 5.5458
S 10.7739 9.4670 13.3413

4
Lattice="0.0000 3.2241 3.2241 3.2241 0.0000 3.2241 3.2241 3.2241 0.0000" Properties=species:S:1:pos:R:3 comment="GeAsP2 (PBE, relaxed)" n_ef_per_ev_cell=2.6 e_form_ev_per_fu=2.27 total_magnetization_mub_per_atom=0.000 relative_energy_ev_per_fu=1.13 pbc="T T T"
Ge 0.0000 0.0000 0.0000
As 3.2241 3.2241 3.2241
P 1.6121 1.6121 1.6121
P 4.8362 4.8362 4.8362

12
Lattice="7.3227 0.0000 0.0000 0.0000 4.2033 0.0000 0.0000 0.0000 8.8571" Properties=species:S:1:pos:R:3 comment="LaMgRh (PBE, relaxed)" n_ef_per_ev_cell=6.2 e_form_ev_per_fu=-1.89 total_magnetization_mub_per_atom=0.000 pbc="T T T"
La 0.2577 1.0508 1.6034
La 3.4037 3.1524 6.0320
La 3.9190 1.0508 2.8252
La 7.0651 3.1524 7.2537
Mg 0.9799 1.0508 4.9221
Mg 2.6814 3.1524 0.4936
Mg 4.6413 1.0508 8.3635
Mg 6.3428 3.1524 3.9350
Rh 1.8235 3.1524 3.2889
Rh 1.8378 1.0508 7.7175
Rh 5.4849 3.1524 1.1397
Rh 5.4992 1.0508 5.5682